NaReMo2As | PBE | optimized geometry

Unit cell a=4.567 b=4.567 c=4.413 alpha=90.00 beta=90.00 gamma=90.00
Space group P4/mmm (No. 123)
Unique sites:
Na1 0.000 0.000 0.000
Re1 0.500 0.500 0.500
Mo1 0.000 0.500 0.000
As1 0.000 0.000 0.500

For the total magnetic moment, the calculation gives 0.70 μB per atom. The formation energy is 2.639 eV/atom.

***

Na2MoAsRu | PBE | optimized geometry

Unit cell a=5.526 b=5.526 c=4.784 alpha=90.00 beta=90.00 gamma=90.00
Space group P4/mmm (No. 123)
Unique sites:
Na1 0.000 0.500 0.000
Mo1 0.000 0.000 0.000
As1 0.000 0.000 0.500
Ru1 0.500 0.500 0.500

For the total magnetic moment, the calculation gives 1.11 μB per atom. The formation energy is 1.568 eV/atom.

***

NaMoAs2Se | PBE | optimized geometry

Unit cell a=4.799 b=4.799 c=4.866 alpha=90.00 beta=90.00 gamma=90.00
Space group P4/mmm (No. 123)
Unique sites:
Na1 0.000 0.000 0.000
Mo1 0.500 0.500 0.500
As1 0.000 0.500 0.000
Se1 0.000 0.000 0.500

For the total magnetic moment, the calculation gives 0.00 μB per atom. As for the uncorrected formation energy: 1.59 eV per atom. As for the polymorph energy (0 for the lowest one): 1571 meV per atom.

***

NaMoAs2Se | PBE | optimized geometry

Unit cell a=4.891 b=4.891 c=5.164 alpha=90.00 beta=90.00 gamma=90.00
Space group P4/mmm (No. 123)
Unique sites:
Na1 0.000 0.000 0.000
Mo1 0.500 0.500 0.500
As1 0.000 0.500 0.500
Se1 0.500 0.500 0.000

For the total magnetic moment, the calculation gives 0.00 μB per atom. As for the uncorrected formation energy: 0.02 eV per atom. As for the polymorph energy (0 for the lowest one): 0 meV per atom.

***

NbMo2As | PBE | optimized geometry

Unit cell a=3.816 b=3.816 c=19.229 alpha=90.00 beta=90.00 gamma=90.00
Space group I-42d (No. 122)
Unique sites:
Nb1 0.000 0.000 0.000
Mo1 0.215 0.250 0.625
As1 0.000 0.000 0.500

For the total magnetic moment, the calculation gives 0.00 μB per atom. The formation energy is 0.358 eV/atom.

***

Nb3MoAs | PBE | optimized geometry

Unit cell a=4.696 b=4.696 c=4.696 alpha=90.00 beta=90.00 gamma=90.00
Space group Pm-3m (No. 221)
Unique sites:
Nb1 0.000 0.000 0.500
Mo1 0.500 0.500 0.500
As1 0.000 0.000 0.000

For the total magnetic moment, the calculation gives 0.00 μB per atom. The formation energy is 0.934 eV/atom. As for the polymorph energy (0 for the lowest one): 0 meV per atom.

***

> The highest total magnetic moment belongs to which entry?

Na2MoAsRu

***

> What is the formula in the fourth record?

NaMoAs2Se

***

> Look up the total magnetic moment of the third one.

0.00 μB per atom